Ni2IrW2 after structural relaxation, computed with PBE.

Summary:
formation energy from the elements	0.2	eV per formula unit
final energy	-9.22	eV per atom

Cell: 6.8768 6.8768 2.8855 Å, 90.00 90.00 90.00°
Sites, in units of the cell vectors:
Ni: 0.1228 0.3772 0.0000
Ni: 0.3772 0.8772 0.0000
Ni: 0.6228 0.1228 0.0000
Ni: 0.8772 0.6228 0.0000
Ir: 0.0000 0.0000 0.0000
Ir: 0.5000 0.5000 0.0000
W: 0.1745 0.6745 0.5000
W: 0.3255 0.1745 0.5000
W: 0.6745 0.8255 0.5000
W: 0.8255 0.3255 0.5000